[1]
The following is a GGA-PBE calculation of an optimized crystal structure of MnTlCo2, from Alexandria.

abc: 6.1417 6.1417 6.1417
angles: 90.00 90.00 90.00
Last column: nearest neighbours and their distance in Å.
Space group F-43m (No. 216)
Symmetry-distinct sites (fractional):
Mn 0.0000 0.0000 0.0000 (multiplicity 4)  4 Tl 2.66, 4 Co 2.66
Tl 0.2500 0.2500 0.7500 (multiplicity 4)  4 Mn 2.66, 4 Co 2.66
Co 0.0000 0.0000 0.5000 (multiplicity 4)  4 Tl 2.66, 4 Co 2.66
Co 0.2500 0.2500 0.2500 (multiplicity 4)  4 Mn 2.66, 4 Co 2.66

The energy above the most stable polymorph in this dataset is 142 meV per atom. For the formation enthalpy at 0 K, the calculation gives 472.4 meV per atom. The energy is -5.964 eV/atom. The total magnetization comes out at 6.3 μB per formula unit.



[2]
The following is a GGA-PBE calculation of an optimized crystal structure of MnTl2Co, from Alexandria.

abc: 3.2094 3.2094 25.5375
angles: 90.00 90.00 120.00
Last column: nearest neighbours and their distance in Å.
Space group R-3m (No. 166, hexagonal axes)
Symmetry-distinct sites (fractional):
Mn 0.0000 0.0000 0.0000 (multiplicity 3)  6 Tl 2.93, 6 Mn 3.21
Tl 0.0000 0.0000 0.2444 (multiplicity 6)  3 Co 2.72, 3 Mn 2.93
Co 0.0000 0.0000 0.5000 (multiplicity 3)  6 Tl 2.72

The energy above the most stable polymorph in this dataset is 265 meV per atom. For the formation enthalpy at 0 K, the calculation gives 643.4 meV per atom. The energy is -4.609 eV/atom. The total magnetization comes out at 4.3 μB per formula unit.



[3]
The following is a GGA-PBE calculation of an optimized crystal structure of MnTl2Co, from Alexandria.

abc: 7.5162 7.5162 5.9008
angles: 90.00 90.00 90.00
Last column: nearest neighbours and their distance in Å.
Space group I-42d (No. 122)
Symmetry-distinct sites (fractional):
Mn 0.0000 0.0000 0.0000 (multiplicity 4)  4 Tl 2.88, 2 Co 2.95
Tl 0.2268 0.2500 0.6250 (multiplicity 8)  2 Co 2.64, 2 Mn 2.88
Co 0.0000 0.0000 0.5000 (multiplicity 4)  4 Tl 2.64, 2 Mn 2.95

The energy above the most stable polymorph in this dataset is 371 meV per atom. For the formation enthalpy at 0 K, the calculation gives 749.5 meV per atom. The energy is -4.502 eV/atom. The total magnetization comes out at 5.2 μB per formula unit.